1.
# Mn3BiCl (PBE, optimized geometry)
# raw formation energy: 0.96 eV per atom
# final energy: -5.689 eV per atom
data_Mn3BiCl
_chemical_formula_sum 'Mn3 Bi1 Cl1'
_symmetry_space_group_name_H-M 'P 1'
_symmetry_Int_Tables_number 1
_cell_length_a 5.2890
_cell_length_b 5.2890
_cell_length_c 5.2890
_cell_angle_alpha 90.00
_cell_angle_beta 90.00
_cell_angle_gamma 90.00
loop_
_symmetry_equiv_pos_as_xyz
'x,y,z'
loop_
_atom_site_label
_atom_site_fract_x
_atom_site_fract_y
_atom_site_fract_z
Mn1 0.0000 0.5000 0.0000
Mn2 0.0000 0.0000 0.5000
Mn3 0.5000 0.0000 0.0000
Bi1 0.0000 0.0000 0.0000
Cl1 0.5000 0.5000 0.5000

***

2.
# YCu2Os (PBE, optimized geometry)
# ΔE_f: 0.180 eV per atom
# final energy: -6.291 eV per atom
data_YCu2Os
_chemical_formula_sum 'Y1 Cu2 Os1'
_symmetry_space_group_name_H-M 'P 1'
_symmetry_Int_Tables_number 1
_cell_length_a 3.3184
_cell_length_b 3.3149
_cell_length_c 6.0425
_cell_angle_alpha 90.00
_cell_angle_beta 90.00
_cell_angle_gamma 90.00
loop_
_symmetry_equiv_pos_as_xyz
'x,y,z'
loop_
_atom_site_label
_atom_site_fract_x
_atom_site_fract_y
_atom_site_fract_z
Cu1 0.0000 0.0000 0.0476
Cu2 0.5000 0.5000 0.2465
Os1 0.0000 0.0000 0.4620
Y1 0.5000 0.5000 0.7439

***

3.
# K2Tl2Sn3 (PBE, optimized geometry)
# ΔE_f: -0.127 eV per atom
# final energy: -2.832 eV per atom
data_K2Tl2Sn3
_chemical_formula_sum 'K2 Tl2 Sn3'
_symmetry_space_group_name_H-M 'P 1'
_symmetry_Int_Tables_number 1
_cell_length_a 5.0629
_cell_length_b 6.9383
_cell_length_c 7.9902
_cell_angle_alpha 113.14
_cell_angle_beta 90.00
_cell_angle_gamma 111.40
loop_
_symmetry_equiv_pos_as_xyz
'x,y,z'
loop_
_atom_site_label
_atom_site_fract_x
_atom_site_fract_y
_atom_site_fract_z
K1 0.8512 0.7023 0.2142
K2 0.1488 0.2977 0.7858
Tl1 0.8421 0.6842 0.7410
Tl2 0.1579 0.3158 0.2590
Sn1 0.5000 0.0000 0.0000
Sn2 0.5884 0.1767 0.4262
Sn3 0.4116 0.8233 0.5738

***

4.
# Ti2BSbS (PBE, optimized geometry)
# raw formation energy: 1.17 eV per atom
# final energy: -4.976 eV per atom
data_Ti2BSbS
_chemical_formula_sum 'Ti2 B1 Sb1 S1'
_symmetry_space_group_name_H-M 'P 1'
_symmetry_Int_Tables_number 1
_cell_length_a 5.1501
_cell_length_b 4.0844
_cell_length_c 5.1501
_cell_angle_alpha 90.00
_cell_angle_beta 90.00
_cell_angle_gamma 90.00
loop_
_symmetry_equiv_pos_as_xyz
'x,y,z'
loop_
_atom_site_label
_atom_site_fract_x
_atom_site_fract_y
_atom_site_fract_z
Sb1 0.0000 0.0000 0.0000
S1 0.5000 0.5000 0.5000
B1 0.0000 0.5000 0.0000
Ti1 0.0000 0.0000 0.5000
Ti2 0.5000 0.0000 0.0000

***

5.
# Tb2BiO5 (PBE, optimized geometry)
# raw formation energy: -2.56 eV per atom
# final energy: -7.301 eV per atom
data_Tb2BiO5
_chemical_formula_sum 'Tb8 Bi4 O20'
_symmetry_space_group_name_H-M 'P 1'
_symmetry_Int_Tables_number 1
_cell_length_a 6.7650
_cell_length_b 7.4042
_cell_length_c 9.4816
_cell_angle_alpha 90.00
_cell_angle_beta 106.56
_cell_angle_gamma 90.00
loop_
_symmetry_equiv_pos_as_xyz
'x,y,z'
loop_
_atom_site_label
_atom_site_fract_x
_atom_site_fract_y
_atom_site_fract_z
Tb1 0.7406 0.8745 0.0062
Tb2 0.2406 0.6255 0.0062
Tb3 0.5421 0.8708 0.3397
Tb4 0.0421 0.6292 0.3397
Tb5 0.9579 0.3708 0.6603
Tb6 0.4579 0.1292 0.6603
Tb7 0.7594 0.3745 0.9938
Tb8 0.2594 0.1255 0.9938
Bi1 0.5575 0.3812 0.3319
Bi2 0.0575 0.1188 0.3319
Bi3 0.9425 0.8812 0.6681
Bi4 0.4425 0.6188 0.6681
O1 0.9699 0.1193 0.0979
O2 0.9473 0.6269 0.0986
O3 0.4699 0.3807 0.0979
O4 0.4473 0.8731 0.0986
O5 0.8466 0.8871 0.2825
O6 0.8586 0.3610 0.2796
O7 0.3466 0.6129 0.2825
O8 0.7677 0.6198 0.4802
O9 0.3586 0.1390 0.2796
O10 0.2677 0.8802 0.4802
O11 0.7323 0.1198 0.5198
O12 0.6414 0.8610 0.7204
O13 0.2323 0.3802 0.5198
O14 0.6534 0.3871 0.7175
O15 0.1414 0.6390 0.7204
O16 0.1534 0.1129 0.7175
O17 0.5527 0.1269 0.9014
O18 0.5301 0.6193 0.9021
O19 0.0527 0.3731 0.9014
O20 0.0301 0.8807 0.9021

***

6.
# Zn2PW (PBE, optimized geometry)
# ΔE_f: 0.265 eV per atom
# final energy: -4.963 eV per atom
data_Zn2PW
_chemical_formula_sum 'Zn2 P1 W1'
_symmetry_space_group_name_H-M 'P 1'
_symmetry_Int_Tables_number 1
_cell_length_a 4.7965
_cell_length_b 4.7965
_cell_length_c 3.0074
_cell_angle_alpha 90.00
_cell_angle_beta 90.00
_cell_angle_gamma 119.22
loop_
_symmetry_equiv_pos_as_xyz
'x,y,z'
loop_
_atom_site_label
_atom_site_fract_x
_atom_site_fract_y
_atom_site_fract_z
Zn1 0.5000 0.0000 0.0000
Zn2 0.0000 0.5000 0.0000
P1 0.0000 0.0000 0.5000
W1 0.5000 0.5000 0.5000

***

7.
# Zn2CoOs (PBE, optimized geometry)
# ΔE_f: 0.214 eV per atom
# final energy: -5.007 eV per atom
data_Zn2CoOs
_chemical_formula_sum 'Zn2 Co1 Os1'
_symmetry_space_group_name_H-M 'P 1'
_symmetry_Int_Tables_number 1
_cell_length_a 4.3983
_cell_length_b 4.3983
_cell_length_c 4.3983
_cell_angle_alpha 126.53
_cell_angle_beta 126.53
_cell_angle_gamma 79.02
loop_
_symmetry_equiv_pos_as_xyz
'x,y,z'
loop_
_atom_site_label
_atom_site_fract_x
_atom_site_fract_y
_atom_site_fract_z
Co1 0.5000 0.5000 0.0000
Os1 0.7500 0.2500 0.5000
Zn1 0.0000 0.0000 0.0000
Zn2 0.2500 0.7500 0.5000

***

8.
# PmNdInOs (PBE, optimized geometry)
# ΔE_f: -0.099 eV per atom
# final energy: -5.971 eV per atom
data_PmNdInOs
_chemical_formula_sum 'Pm1 Nd1 In1 Os1'
_symmetry_space_group_name_H-M 'P 1'
_symmetry_Int_Tables_number 1
_cell_length_a 5.1962
_cell_length_b 5.1962
_cell_length_c 5.1962
_cell_angle_alpha 60.00
_cell_angle_beta 60.00
_cell_angle_gamma 60.00
loop_
_symmetry_equiv_pos_as_xyz
'x,y,z'
loop_
_atom_site_label
_atom_site_fract_x
_atom_site_fract_y
_atom_site_fract_z
Nd1 0.0000 0.0000 0.0000
In1 0.2500 0.2500 0.2500
Os1 0.7500 0.7500 0.7500
Pm1 0.5000 0.5000 0.5000

***

9.
# Pr12YHo7 (PBE, optimized geometry)
# ΔE_f: 0.216 eV per atom
# final energy: -4.577 eV per atom
data_Pr12YHo7
_chemical_formula_sum 'Pr12 Y1 Ho7'
_symmetry_space_group_name_H-M 'P 1'
_symmetry_Int_Tables_number 1
_cell_length_a 8.9009
_cell_length_b 8.9009
_cell_length_c 8.9009
_cell_angle_alpha 87.01
_cell_angle_beta 87.01
_cell_angle_gamma 87.01
loop_
_symmetry_equiv_pos_as_xyz
'x,y,z'
loop_
_atom_site_label
_atom_site_fract_x
_atom_site_fract_y
_atom_site_fract_z
Pr1 0.7744 0.2435 0.6508
Pr2 0.7565 0.3492 0.2256
Pr3 0.4205 0.1020 0.3471
Pr4 0.8980 0.6529 0.5795
Pr5 0.3492 0.2256 0.7565
Pr6 0.6529 0.5795 0.8980
Pr7 0.3471 0.4205 0.1020
Pr8 0.6508 0.7744 0.2435
Pr9 0.1020 0.3471 0.4205
Pr10 0.5795 0.8980 0.6529
Pr11 0.2435 0.6508 0.7744
Pr12 0.2256 0.7565 0.3492
Y1 0.0000 0.0000 0.0000
Ho1 0.9948 0.6394 0.1136
Ho2 0.3606 0.8864 0.0052
Ho3 0.8864 0.0052 0.3606
Ho4 0.5000 0.5000 0.5000
Ho5 0.1136 0.9948 0.6394
Ho6 0.6394 0.1136 0.9948
Ho7 0.0052 0.3606 0.8864

***

10.
# YTa2Se (PBE, optimized geometry)
# raw formation energy: 0.00 eV per atom
# final energy: -8.415 eV per atom
data_YTa2Se
_chemical_formula_sum 'Y1 Ta2 Se1'
_symmetry_space_group_name_H-M 'P 1'
_symmetry_Int_Tables_number 1
_cell_length_a 4.8360
_cell_length_b 4.8360
_cell_length_c 5.9034
_cell_angle_alpha 78.44
_cell_angle_beta 78.44
_cell_angle_gamma 40.33
loop_
_symmetry_equiv_pos_as_xyz
'x,y,z'
loop_
_atom_site_label
_atom_site_fract_x
_atom_site_fract_y
_atom_site_fract_z
Se1 0.2591 0.2591 0.1894
Ta1 0.9911 0.9911 0.9968
Ta2 0.7380 0.7380 0.8304
Y1 0.5117 0.5117 0.4834

***

11.
# Th2FeCuAu (PBE, optimized geometry)
# ΔE_f: -0.300 eV per atom
# final energy: -6.435 eV per atom
data_Th2FeCuAu
_chemical_formula_sum 'Th4 Fe2 Cu2 Au2'
_symmetry_space_group_name_H-M 'P 1'
_symmetry_Int_Tables_number 1
_cell_length_a 3.9092
_cell_length_b 7.6772
_cell_length_c 7.7518
_cell_angle_alpha 111.84
_cell_angle_beta 90.00
_cell_angle_gamma 90.00
loop_
_symmetry_equiv_pos_as_xyz
'x,y,z'
loop_
_atom_site_label
_atom_site_fract_x
_atom_site_fract_y
_atom_site_fract_z
Th1 0.7500 0.8739 0.6452
Th2 0.7500 0.7257 0.0150
Th3 0.2500 0.1261 0.3548
Th4 0.2500 0.2743 0.9850
Fe1 0.2500 0.8806 0.8908
Fe2 0.7500 0.1194 0.1092
Cu1 0.2500 0.5583 0.6322
Cu2 0.7500 0.4417 0.3678
Au1 0.2500 0.6804 0.3162
Au2 0.7500 0.3196 0.6838

***

12.
# Dy2Si4Pd5 (PBE, optimized geometry)
# raw formation energy: -0.74 eV per atom
# final energy: -5.913 eV per atom
data_Dy2Si4Pd5
_chemical_formula_sum 'Dy2 Si4 Pd5'
_symmetry_space_group_name_H-M 'P 1'
_symmetry_Int_Tables_number 1
_cell_length_a 5.6985
_cell_length_b 5.5943
_cell_length_c 7.6188
_cell_angle_alpha 79.02
_cell_angle_beta 68.04
_cell_angle_gamma 59.38
loop_
_symmetry_equiv_pos_as_xyz
'x,y,z'
loop_
_atom_site_label
_atom_site_fract_x
_atom_site_fract_y
_atom_site_fract_z
Dy1 0.8582 0.0000 0.2836
Dy2 0.1418 0.0000 0.7164
Si1 0.5033 0.2704 0.7229
Si2 0.4967 0.7296 0.2771
Si3 0.2262 0.2704 0.2771
Si4 0.7738 0.7296 0.7229
Pd1 0.5000 0.0000 0.0000
Pd2 0.0000 0.5000 0.0000
Pd3 0.5000 0.5000 0.0000
Pd4 0.2500 0.5000 0.5000
Pd5 0.7500 0.5000 0.5000

***

13.
# Li6Ca6Ac (PBE, optimized geometry)
# ΔE_f: 0.048 eV per atom
# final energy: -2.075 eV per atom
data_Li6Ca6Ac
_chemical_formula_sum 'Li6 Ca6 Ac1'
_symmetry_space_group_name_H-M 'P 1'
_symmetry_Int_Tables_number 1
_cell_length_a 6.4871
_cell_length_b 8.7275
_cell_length_c 8.7275
_cell_angle_alpha 82.20
_cell_angle_beta 68.18
_cell_angle_gamma 68.18
loop_
_symmetry_equiv_pos_as_xyz
'x,y,z'
loop_
_atom_site_label
_atom_site_fract_x
_atom_site_fract_y
_atom_site_fract_z
Li1 0.0000 0.5000 0.0000
Li2 0.5000 0.5000 0.0000
Li3 0.0000 0.0000 0.5000
Li4 0.5000 0.0000 0.5000
Li5 0.5000 0.7718 0.2282
Li6 0.5000 0.2282 0.7718
Ca1 0.3434 0.6566 0.6566
Ca2 0.6566 0.3434 0.3434
Ca3 0.0000 0.3400 0.6600
Ca4 0.0000 0.6600 0.3400
Ca5 0.3197 0.1803 0.1803
Ca6 0.6803 0.8197 0.8197
Ac1 0.0000 0.0000 0.0000

***

14.
# TaCr2Tc (PBE, optimized geometry)
# ΔE_f: 0.115 eV per atom
# final energy: -10.252 eV per atom
data_TaCr2Tc
_chemical_formula_sum 'Ta1 Cr2 Tc1'
_symmetry_space_group_name_H-M 'P 1'
_symmetry_Int_Tables_number 1
_cell_length_a 2.6839
_cell_length_b 2.6839
_cell_length_c 8.4040
_cell_angle_alpha 90.00
_cell_angle_beta 90.00
_cell_angle_gamma 110.54
loop_
_symmetry_equiv_pos_as_xyz
'x,y,z'
loop_
_atom_site_label
_atom_site_fract_x
_atom_site_fract_y
_atom_site_fract_z
Cr1 0.0000 0.0000 0.9903
Cr2 0.0000 0.0000 0.5097
Ta1 0.5000 0.5000 0.2500
Tc1 0.5000 0.5000 0.7500